P:
The following is a GGA-PBE calculation of crystalline NbTcGe at its relaxed geometry, from Alexandria via LeMat-Bulk.

Results
As for the density of states at the Fermi level: 0.647 states/eV/atom. As for the size of the total moment: 0.000 μB/f.u.

abc: 3.1908 3.1908 9.2802
angles: 90.00 90.00 90.00
Last column: nearest neighbours and their distance in Å.
Space group I4mm (No. 107)
Inequivalent atoms, fractional coordinates:
Nb 0.0000 0.0000 0.0000  5 Tc 2.75-3.06, 5 Ge 2.82-2.95
Tc 0.0000 0.0000 0.3302  4 Ge 2.64, 4 Nb 2.75
Ge 0.0000 0.0000 0.6816  4 Tc 2.64, 5 Nb 2.82-2.95

---

Q:
The following is a GGA-PBE calculation of crystalline NbTcGe at its relaxed geometry, from Alexandria via LeMat-Bulk.

Results
As for the density of states at the Fermi level: 0.632 states/eV/atom. As for the size of the total moment: 0.000 μB/f.u.

abc: 7.1590 11.7327 6.8159
angles: 90.00 90.00 90.00
Last column: nearest neighbours and their distance in Å.
Space group Ima2 (No. 46)
Inequivalent atoms, fractional coordinates:
Nb 0.2500 0.0015 0.0000  5 Ge 2.72-2.76, 4 Tc 2.89-2.92
Nb 0.2500 0.2170 0.6298  5 Ge 2.68-2.72, 2 Tc 2.96
Nb 0.2500 0.6937 0.1148  5 Ge 2.72-3.01, 6 Tc 2.81-2.91
Tc 0.0000 0.0000 0.6620  4 Ge 2.55-2.62
Tc 0.0390 0.6265 0.7863  4 Ge 2.48-2.59
Ge 0.0040 0.6676 0.4150  3 Tc 2.58-2.62, 6 Nb 2.70-2.76
Ge 0.2500 0.0313 0.4012  6 Tc 2.48-2.55, 2 Nb 2.68-2.76

---

Which structure is the most stable? The one labeled Q.

---

P:
The following is a GGA-PBE calculation of crystalline NbTcGe at its relaxed geometry, from Alexandria via LeMat-Bulk.

Results
As for the density of states at the Fermi level: 0.819 states/eV/atom. As for the size of the total moment: 0.000 μB/f.u.

abc: 9.5729 4.2778 5.3172
angles: 90.00 119.20 90.00
Last column: nearest neighbours and their distance in Å.
Space group C2/m (No. 12)
Inequivalent atoms, fractional coordinates:
Nb 0.0016 0.0000 0.2538  2 Nb 2.63-2.68, 3 Tc 2.83-2.86, 5 Ge 2.87-2.95
Tc 0.1728 0.5000 0.6271  4 Ge 2.56-2.69, 3 Nb 2.83-2.86
Ge 0.1719 0.5000 0.1323  4 Tc 2.56-2.69, 2 Nb 2.87

---

Q:
The following is a GGA-PBE calculation of crystalline NbTcGe at its relaxed geometry, from Alexandria via LeMat-Bulk.

Results
As for the density of states at the Fermi level: 0.500 states/eV/atom. As for the size of the total moment: 0.000 μB/f.u.

abc: 9.7806 3.2169 6.3648
angles: 90.00 104.32 90.00
Last column: nearest neighbours and their distance in Å.
Space group Cm (No. 8)
Inequivalent atoms, fractional coordinates:
Nb 0.0000 0.0000 0.0000  4 Ge 2.66-2.82, 4 Tc 2.81-2.87
Nb 0.2216 0.5000 0.3265  5 Ge 2.66-2.83, 2 Tc 2.70
Tc 0.1481 0.5000 0.7545  4 Ge 2.55-2.61, 3 Tc 2.76-2.80
Tc 0.3567 0.0000 0.6528  3 Ge 2.67-2.78, 4 Nb 2.70-2.81, 3 Tc 2.76-2.80
Ge 0.0163 0.0000 0.4492  4 Tc 2.61-2.78, 4 Nb 2.79-2.83
Ge 0.2903 0.0000 0.0352  3 Tc 2.55-2.67, 5 Nb 2.66-2.79

---

R:
The following is a GGA-PBE calculation of crystalline NbTcGe at its relaxed geometry, from Alexandria via LeMat-Bulk.

Results
As for the density of states at the Fermi level: 0.745 states/eV/atom. As for the size of the total moment: 0.000 μB/f.u.

abc: 4.6907 4.9411 5.2791
angles: 107.42 100.08 117.93
Last column: nearest neighbours and their distance in Å.
Space group P-1 (No. 2)
Inequivalent atoms, fractional coordinates:
Nb 0.0375 0.4709 0.2429  2 Nb 2.65-2.75, 5 Ge 2.77-2.83, 3 Tc 2.80-2.84
Tc 0.2855 0.1773 0.7682  4 Ge 2.67-2.72, 2 Tc 2.79-2.87, 3 Nb 2.80-2.84
Ge 0.3712 0.1294 0.2629  4 Tc 2.67-2.72, 5 Nb 2.77-2.83

---

Which structure is the most stable? The one labeled Q.